! YMoO4F (PBE with a Hubbard U, relaxed); values from VASP
&SYSTEM
  ibrav = 0, nat = 14, ntyp = 4
/
ATOMIC_SPECIES
Y 88.91 Y.upf
Mo 95.94 Mo.upf
O 16.00 O.upf
F 19.00 F.upf
ATOMIC_POSITIONS angstrom
Y 3.0899 2.1900 6.0425
Y 6.4163 4.5477 0.9078
Mo 6.3146 4.4756 4.9927
Mo 3.1916 2.2621 1.9576
O 2.9455 2.0877 3.7036
O 6.5607 4.6500 3.2467
O 1.7435 2.9605 1.1214
O 4.6171 3.2725 1.6331
O 6.1353 6.0732 5.8289
O 3.3709 0.6645 1.1214
O 4.8891 3.4652 5.3172
O 7.7626 3.7772 5.8289
F 0.4057 0.2875 1.1504
F 9.1005 6.4502 5.7999
CELL_PARAMETERS angstrom
6.0452 -0.2480 0.1048
1.7684 5.7861 0.1048
1.6926 1.1997 6.7407
! Spin magnetization in μB/cell: 0.0
! Excess energy over the best structure of this formula in the dataset in meV/atom: 4
! Total DFT energy (no corrections) in eV per atom: -7.634
! Space-group type: No. 12
! Fermi-level density of states in states/eV per atom: 0.0000